No. 1
PuSc2Bi | PBE-GGA | relaxed

Unit cell a=3.8113 b=3.8113 c=6.9545 alpha=90.00 beta=90.00 gamma=90.00
Space group P4/mmm (No. 123)
Inequivalent atoms, fractional coordinates:
Pu 0.0000 0.0000 0.0000 x1
Sc 0.5000 0.5000 0.2660 x2
Bi 0.0000 0.0000 0.5000 x1

## Properties
Magnetic moment (μB/cell): 6.57
Calculated density (g/cm3): 8.924
Energy of formation from the pure elements (eV per atom): -0.1743

---

No. 2
LiCaBe | PBE-GGA | relaxed

Unit cell a=3.3843 b=3.3843 c=10.7828 alpha=90.00 beta=90.00 gamma=90.00
Space group I4mm (No. 107)
Inequivalent atoms, fractional coordinates:
Li 0.0000 0.0000 0.0000 x2
Ca 0.0000 0.0000 0.7179 x2
Be 0.0000 0.0000 0.3964 x2

## Properties
Magnetic moment (μB/cell): 0.00
Calculated density (g/cm3): 1.507
Energy of formation from the pure elements (eV per atom): 0.3257

---

No. 3
La2CdSi | PBE-GGA | relaxed

Unit cell a=7.4818 b=7.4818 c=7.4818 alpha=90.00 beta=90.00 gamma=90.00
Space group F-43m (No. 216)
Inequivalent atoms, fractional coordinates:
La 0.0000 0.0000 0.0000 x4
La 0.2500 0.2500 0.2500 x4
Cd 0.2500 0.2500 0.7500 x4
Si 0.0000 0.0000 0.5000 x4

## Properties
Energy relative to the elements, uncorrected (meV per atom): 91
Magnetic moment (μB/cell): 0.00
Calculated density (g/cm3): 6.634

---

No. 4
MnAl2Au4 | PBE-GGA | relaxed

Unit cell a=6.0147 b=6.0147 c=6.8887 alpha=90.00 beta=90.00 gamma=90.00
Space group I4/mmm (No. 139)
Inequivalent atoms, fractional coordinates:
Mn 0.0000 0.0000 0.0000 x2
Al 0.0000 0.5000 0.0000 x4
Au 0.2500 0.2500 0.2500 x8

## Properties
Magnetic moment (μB/cell): 6.88
Calculated density (g/cm3): 11.951
Energy of formation from the pure elements (eV per atom): -0.2109

---

No. 5
Nb2CrSn2S6 | PBE-GGA | relaxed

Unit cell a=5.8870 b=10.4352 c=7.8525 alpha=90.00 beta=103.17 gamma=90.00
Space group C2/m (No. 12)
Inequivalent atoms, fractional coordinates:
Nb 0.0000 0.1385 0.0000 x4
Cr 0.0000 0.5000 0.0000 x2
Sn 0.0000 0.2103 0.5000 x4
S 0.1010 0.3343 0.8192 x8
S 0.1271 0.0000 0.7868 x4

## Properties
Energy relative to the elements, uncorrected (meV per atom): -694
Magnetic moment (μB/cell): 3.19
Calculated density (g/cm3): 4.720

---

No. 6
Zn2AgOs | PBE-GGA | relaxed

Unit cell a=2.7083 b=3.8715 c=5.7728 alpha=90.00 beta=90.00 gamma=90.00
Space group Pmmm (No. 47)
Inequivalent atoms, fractional coordinates:
Zn 0.0000 0.0000 0.2283 x2
Ag 0.5000 0.5000 0.5000 x1
Os 0.5000 0.5000 0.0000 x1

## Properties
Magnetic moment (μB/cell): 0.00
Calculated density (g/cm3): 11.767
Energy of formation from the pure elements (eV per atom): 0.2072

---

Number 1: total energy -7.89 eV/atom. Number 2: total energy -2.22 eV/atom. Number 3: total energy -3.96 eV/atom. Number 4: total energy -4.46 eV/atom. Number 5: total energy -6.38 eV/atom. Number 6: total energy -3.95 eV/atom.